No. 1
This record from Alexandria describes an optimized crystal structure of UAg5Se6. The functional is PBE.

The space group is C2/m (No. 12) and the conventional cell measures 7.183, 11.687 and 6.878 Å, with angles of 90.00, 109.81 and 90.00 degrees. The asymmetric unit holds U at (0.000, 0.000, 0.000), Ag at (0.000, 0.135, 0.500), Ag at (0.000, 0.317, 0.000), Ag at (0.000, 0.500, 0.500), Se at (0.219, 0.500, 0.202) and Se at (0.229, 0.163, 0.268).

As for the total DFT energy (no corrections): -0.30976 Ry per atom. Its crystal system is monoclinic. The calculation puts the total moment at 1.0 μB per cell.

***

No. 2
This record from Alexandria describes an optimized crystal structure of Tb7PmEr2. The functional is PBE.

The space group is P-1 (No. 2) and the conventional cell measures 6.462, 6.645 and 8.256 Å, with angles of 78.62, 70.85 and 87.39 degrees. The asymmetric unit holds Tb at (0.000, 0.000, 0.000), Tb at (0.104, 0.761, 0.455), Tb at (0.213, 0.490, 0.098), Tb at (0.483, 0.836, 0.677), Pm at (0.500, 0.000, 0.000) and Er at (0.338, 0.362, 0.689).

As for the total DFT energy (no corrections): -0.32819 Ry per atom. Its crystal system is triclinic. The calculation puts the total moment at 0.0 μB per cell.

***

No. 3
This record from Alexandria describes an optimized crystal structure of La2Tb6Pr3Dy. The functional is PBE.

The space group is C2/m (No. 12) and the conventional cell measures 6.301, 10.915 and 11.954 Å, with angles of 90.00, 100.10 and 90.00 degrees. The asymmetric unit holds La at (0.000, 0.166, 0.000), Tb at (0.249, 0.334, 0.250), Tb at (0.249, 0.500, 0.750), Pr at (0.000, 0.000, 0.500), Pr at (0.000, 0.333, 0.500) and Dy at (0.000, 0.500, 0.000).

As for the total DFT energy (no corrections): -0.34550 Ry per atom. Its crystal system is monoclinic. The calculation puts the total moment at 0.0 μB per cell.